Record 1
PuIrRh2: relaxed, PBE.

Cell and atoms, written as POSCAR:
```
PuIrRh2
1.0
5.2592 0.0000 0.0000
0.0000 4.3231 0.0000
0.0000 0.0000 6.1463
Pu Ir Rh
2 2 4
direct
0.2500 0.0000 0.1924
0.7500 0.0000 0.8076
0.2500 0.5000 0.8959
0.7500 0.5000 0.1041
0.0000 0.5000 0.5000
0.2500 0.0000 0.6474
0.5000 0.5000 0.5000
0.7500 0.0000 0.3526
```

- magnetic moment (μB per atom) = 0.9799
- D(E_F) (states/eV per atom) = 2.39
- calculated formation energy (eV per atom) = -0.25
- energy relative to the lowest polymorph listed for this composition (eV per atom) = 0.000

Record 2
SrLiCa2Ag: relaxed, PBE.

Cell and atoms, written as POSCAR:
```
SrLiCa2Ag
1.0
5.8578 0.0000 0.0000
0.0000 5.8578 0.0000
0.0000 0.0000 5.3753
Sr Li Ca Ag
1 1 2 1
direct
0.0000 0.0000 0.0000
0.5000 0.5000 0.0000
0.0000 0.5000 0.5000
0.5000 0.0000 0.5000
0.5000 0.5000 0.5000
```

- magnetic moment (μB per atom) = 0.0000
- D(E_F) (states/eV per atom) = 0.75
- calculated formation energy (eV per atom) = -0.02
- energy relative to the lowest polymorph listed for this composition (eV per atom) = 0.000

Record 3
ScAgBi: relaxed, PBE.

Cell and atoms, written as POSCAR:
```
ScAgBi
1.0
4.6100 0.0000 0.0000
-2.3050 3.9924 0.0000
0.0000 0.0000 3.8940
Sc Ag Bi
1 1 1
direct
0.0000 0.0000 0.0000
0.6667 0.3333 0.3031
0.3333 0.6667 0.5992
```

- magnetic moment (μB per atom) = 0.0000
- D(E_F) (states/eV per atom) = 0.52
- calculated formation energy (eV per atom) = -0.22

Record 4
Sr2Tl2Pb: relaxed, PBE.

Cell and atoms, written as POSCAR:
```
Sr2Tl2Pb
1.0
8.3203 0.0000 0.0000
0.0000 8.3203 0.0000
0.0000 0.0000 5.0499
Sr Tl Pb
4 4 2
direct
0.1742 0.3258 0.0000
0.3258 0.8258 0.0000
0.6742 0.1742 0.0000
0.8258 0.6742 0.0000
0.1301 0.6301 0.5000
0.3699 0.1301 0.5000
0.6301 0.8699 0.5000
0.8699 0.3699 0.5000
0.0000 0.0000 0.5000
0.5000 0.5000 0.5000
```

- magnetic moment (μB per atom) = 0.0000
- D(E_F) (states/eV per atom) = 0.92
- calculated formation energy (eV per atom) = -0.35
- energy relative to the lowest polymorph listed for this composition (eV per atom) = 0.030

Record 5
CoCu2Os: relaxed, PBE.

Cell and atoms, written as POSCAR:
```
CoCu2Os
1.0
6.6419 0.0000 0.0000
0.0000 6.6419 0.0000
0.0000 0.0000 4.8080
Co Cu Os
4 8 4
direct
0.0000 0.0000 0.0000
0.0000 0.5000 0.2500
0.5000 0.0000 0.7500
0.5000 0.5000 0.5000
0.2345 0.2500 0.1250
0.2500 0.7345 0.3750
0.2500 0.7655 0.8750
0.2655 0.2500 0.6250
0.7345 0.7500 0.6250
0.7500 0.2345 0.8750
0.7500 0.2655 0.3750
0.7655 0.7500 0.1250
0.0000 0.0000 0.5000
0.0000 0.5000 0.7500
0.5000 0.0000 0.2500
0.5000 0.5000 0.0000
```

- magnetic moment (μB per atom) = 0.0000
- D(E_F) (states/eV per atom) = 1.44
- calculated formation energy (eV per atom) = 0.92
- energy relative to the lowest polymorph listed for this composition (eV per atom) = 0.751

Record 6
MgGaP2Cl: relaxed, PBE.

Cell and atoms, written as POSCAR:
```
MgGaP2Cl
1.0
4.9387 0.0000 0.0000
0.0000 4.9387 0.0000
0.0000 0.0000 5.0477
Mg Ga P Cl
1 1 2 1
direct
0.0000 0.0000 0.0000
0.5000 0.5000 0.5000
0.0000 0.5000 0.0000
0.5000 0.0000 0.0000
0.0000 0.0000 0.5000
```

- magnetic moment (μB per atom) = 0.3253
- uncorrected formation energy (eV per atom) = 0.344
- D(E_F) (states/eV per atom) = 0.52
- energy relative to the lowest polymorph listed for this composition (eV per atom) = 0.067

Record 7
CdAs3: relaxed, PBE.

Cell and atoms, written as POSCAR:
```
CdAs3
1.0
10.1460 0.0000 0.0000
-5.0730 8.7867 0.0000
0.0000 0.0000 2.7599
Cd As
3 9
direct
0.0000 0.0000 0.0000
0.3333 0.6667 0.6667
0.6667 0.3333 0.3333
0.0000 0.5000 0.0000
0.1667 0.3333 0.3333
0.1667 0.8333 0.3333
0.3333 0.1667 0.6667
0.5000 0.0000 0.0000
0.5000 0.5000 0.0000
0.6667 0.8333 0.3333
0.8333 0.1667 0.6667
0.8333 0.6667 0.6667
```

- magnetic moment (μB per atom) = 0.0000
- D(E_F) (states/eV per atom) = 0.61
- calculated formation energy (eV per atom) = 0.34
- energy relative to the lowest polymorph listed for this composition (eV per atom) = 0.364

Record 8
Cs4Pm3InS8: relaxed, PBE.

Cell and atoms, written as POSCAR:
```
Cs4Pm3InS8
1.0
4.1713 2.4083 8.0885
-4.1713 2.4083 8.0885
0.0000 -4.8166 8.0885
Cs Pm In S
4 3 1 8
direct
0.0000 0.0000 0.0000
0.0000 0.5000 0.5000
0.5000 0.0000 0.5000
0.5000 0.5000 0.0000
0.0000 0.0000 0.5000
0.0000 0.5000 0.0000
0.5000 0.0000 0.0000
0.5000 0.5000 0.5000
0.2288 0.2288 0.2288
0.2378 0.7228 0.7228
0.2772 0.2772 0.7622
0.2772 0.7622 0.2772
0.7228 0.2378 0.7228
0.7228 0.7228 0.2378
0.7622 0.2772 0.2772
0.7712 0.7712 0.7712
```

- magnetic moment (μB per atom) = 0.0000
- uncorrected formation energy (eV per atom) = -1.543

Record 9
LiTl4Cr: relaxed, PBE.

Cell and atoms, written as POSCAR:
```
LiTl4Cr
1.0
0.0000 4.4483 4.4483
4.4483 0.0000 4.4483
4.4483 4.4483 0.0000
Li Tl Cr
1 4 1
direct
0.0000 0.0000 0.0000
0.1256 0.6248 0.6248
0.6248 0.1256 0.6248
0.6248 0.6248 0.1256
0.6248 0.6248 0.6248
0.2500 0.2500 0.2500
```

- magnetic moment (μB per atom) = 0.8291
- D(E_F) (states/eV per atom) = 0.33
- calculated formation energy (eV per atom) = 0.45

Record 10
FeNiPtAu2: relaxed, PBE.

Cell and atoms, written as POSCAR:
```
FeNiPtAu2
1.0
4.6958 0.0000 0.0000
0.0000 4.6958 0.0000
0.0000 0.0000 4.2027
Fe Ni Pt Au
1 1 1 2
direct
0.0000 0.0000 0.0000
0.0000 0.0000 0.5000
0.5000 0.5000 0.0000
0.0000 0.5000 0.5000
0.5000 0.0000 0.5000
```

- magnetic moment (μB per atom) = 0.8032
- D(E_F) (states/eV per atom) = 0.76
- calculated formation energy (eV per atom) = 0.90

Record 11
Y2ZnGe2Rh5: relaxed, PBE.

Cell and atoms, written as POSCAR:
```
Y2ZnGe2Rh5
1.0
9.7612 0.0000 0.0000
0.0000 9.7612 0.0000
0.0000 0.0000 3.5491
Y Zn Ge Rh
4 2 4 10
direct
0.1732 0.3268 0.0000
0.3268 0.8268 0.0000
0.6732 0.1732 0.0000
0.8268 0.6732 0.0000
0.0000 0.0000 0.0000
0.5000 0.5000 0.0000
0.1266 0.6266 0.0000
0.3734 0.1266 0.0000
0.6266 0.8734 0.0000
0.8734 0.3734 0.0000
0.0000 0.5000 0.5000
0.0663 0.7946 0.5000
0.2054 0.0663 0.5000
0.2946 0.5663 0.5000
0.4337 0.2946 0.5000
0.5000 0.0000 0.5000
0.5663 0.7054 0.5000
0.7054 0.4337 0.5000
0.7946 0.9337 0.5000
0.9337 0.2054 0.5000
```

- magnetic moment (μB per atom) = 0.0000
- D(E_F) (states/eV per atom) = 0.23
- calculated formation energy (eV per atom) = -0.76

Record 12
Ta3CoS: relaxed, PBE.

Cell and atoms, written as POSCAR:
```
Ta3CoS
1.0
4.4916 0.0000 0.0000
0.0000 4.4916 0.0000
0.0000 0.0000 4.4916
Ta Co S
3 1 1
direct
0.0000 0.0000 0.5000
0.0000 0.5000 0.0000
0.5000 0.0000 0.0000
0.5000 0.5000 0.5000
0.0000 0.0000 0.0000
```

- magnetic moment (μB per atom) = 0.0001
- uncorrected formation energy (eV per atom) = 0.627
- D(E_F) (states/eV per atom) = 2.25
- energy relative to the lowest polymorph listed for this composition (eV per atom) = 0.000

Record 13
K3Sm3NbS8: relaxed, PBE.

Cell and atoms, written as POSCAR:
```
K3Sm3NbS8
1.0
4.0093 2.3148 7.5259
-4.0093 2.3148 7.5259
0.0000 -4.6296 7.5259
K Sm Nb S
3 3 1 8
direct
0.0000 0.5000 0.5000
0.5000 0.0000 0.5000
0.5000 0.5000 0.0000
0.0000 0.0000 0.5000
0.0000 0.5000 0.0000
0.5000 0.0000 0.0000
0.5000 0.5000 0.5000
0.2358 0.2358 0.2358
0.2588 0.7166 0.7166
0.2834 0.2834 0.7412
0.2834 0.7412 0.2834
0.7166 0.2588 0.7166
0.7166 0.7166 0.2588
0.7412 0.2834 0.2834
0.7642 0.7642 0.7642
```

- magnetic moment (μB per atom) = 0.0677
- uncorrected formation energy (eV per atom) = -1.633
- D(E_F) (states/eV per atom) = 0.33

Record 14
Tc2HgBr: relaxed, PBE.

Cell and atoms, written as POSCAR:
```
Tc2HgBr
1.0
2.9518 0.0000 0.0000
0.0000 4.7644 0.0000
0.0000 0.0000 5.2299
Tc Hg Br
2 1 1
direct
0.0000 0.0000 0.0000
0.5000 0.0000 0.5000
0.0000 0.5000 0.5000
0.5000 0.5000 0.0000
```

- magnetic moment (μB per atom) = 0.4781
- uncorrected formation energy (eV per atom) = 1.059
- D(E_F) (states/eV per atom) = 1.19
- energy relative to the lowest polymorph listed for this composition (eV per atom) = 0.815

Record 15
Ac2SmAlS6: relaxed, PBE.

Cell and atoms, written as POSCAR:
```
Ac2SmAlS6
1.0
6.0044 -3.4614 0.0000
6.0044 3.4614 0.0000
-3.8977 0.0000 5.9545
Ac Sm Al S
2 1 1 6
direct
0.2423 0.2423 0.2195
0.7577 0.7577 0.7805
0.0000 0.0000 0.5000
0.5000 0.5000 0.0000
0.2000 0.6771 0.1696
0.2671 0.2671 0.6603
0.3229 0.8000 0.8304
0.6771 0.2000 0.1696
0.7329 0.7329 0.3397
0.8000 0.3229 0.8304
```

- magnetic moment (μB per atom) = 0.0000
- uncorrected formation energy (eV per atom) = -1.804
- D(E_F) (states/eV per atom) = 0.00

Record 16
Co2HOsPd: relaxed, PBE.

Cell and atoms, written as POSCAR:
```
Co2HOsPd
1.0
3.8163 0.0000 0.0000
0.0000 3.8163 0.0000
0.0000 0.0000 3.7188
Co H Os Pd
2 1 1 1
direct
0.0000 0.5000 0.0000
0.5000 0.0000 0.0000
0.0000 0.0000 0.0000
0.0000 0.0000 0.5000
0.5000 0.5000 0.5000
```

- magnetic moment (μB per atom) = 0.7761
- D(E_F) (states/eV per atom) = 1.25
- electronic total energy (eV/atom) = -6.53

Record 17
La3Tb2Nd6Mg: relaxed, PBE.

Cell and atoms, written as POSCAR:
```
La3Tb2Nd6Mg
1.0
3.1583 -5.4810 0.0000
3.1583 5.4810 0.0000
-2.1295 0.0000 11.8354
La Tb Nd Mg
3 2 6 1
direct
0.0000 0.0000 0.0000
0.3317 0.6683 0.0000
0.6683 0.3317 0.0000
0.1667 0.8333 0.5000
0.8333 0.1667 0.5000
0.0890 0.4199 0.2570
0.2498 0.2498 0.7445
0.4199 0.0890 0.2570
0.5801 0.9110 0.7430
0.7502 0.7502 0.2555
0.9110 0.5801 0.7430
0.5000 0.5000 0.5000
```

- magnetic moment (μB per atom) = 0.0000
- D(E_F) (states/eV per atom) = 1.37
- calculated formation energy (eV per atom) = 0.03

Record 18
Ac10Tb4Pm: relaxed, PBE.

Cell and atoms, written as POSCAR:
```
Ac10Tb4Pm
1.0
-6.5627 6.5627 4.1489
6.5627 -6.5627 4.1489
6.5627 6.5627 -4.1489
Ac Tb Pm
10 4 1
direct
0.0482 0.1489 0.6990
0.1489 0.4498 0.1007
0.2500 0.7500 0.5000
0.3491 0.0482 0.8993
0.4498 0.3491 0.3010
0.5502 0.6509 0.6990
0.6509 0.9518 0.1007
0.7500 0.2500 0.5000
0.8511 0.5502 0.8993
0.9518 0.8511 0.3010
0.1002 0.3002 0.4004
0.3002 0.8998 0.1999
0.6998 0.1002 0.8001
0.8998 0.6998 0.5996
0.5000 0.5000 0.0000
```

- magnetic moment (μB per atom) = 0.0000
- D(E_F) (states/eV per atom) = 1.54
- calculated formation energy (eV per atom) = 0.58

Record 19
Ce2PrTmSe4: relaxed, PBE.

Cell and atoms, written as POSCAR:
```
Ce2PrTmSe4
1.0
7.2443 0.0000 0.0000
0.0000 4.1405 0.0000
-2.3672 0.0000 6.8704
Ce Pr Tm Se
2 1 1 4
direct
0.0000 0.0000 0.0000
0.5000 0.5000 0.0000
0.0000 0.5000 0.5000
0.5000 0.0000 0.5000
0.2598 0.0000 0.7469
0.2643 0.5000 0.2610
0.7357 0.5000 0.7390
0.7402 0.0000 0.2531
```

- magnetic moment (μB per atom) = 0.2577
- uncorrected formation energy (eV per atom) = -1.787
- D(E_F) (states/eV per atom) = 1.63

Record 20
Tb3InS6: relaxed, PBE.

Cell and atoms, written as POSCAR:
```
Tb3InS6
1.0
13.5486 0.0000 0.0000
0.0000 16.5688 0.0000
0.0000 0.0000 3.8713
Tb In S
12 4 24
direct
0.0385 0.2245 0.2502
0.1899 0.6454 0.2500
0.2494 0.8923 0.7502
0.2506 0.3923 0.2498
0.3101 0.1454 0.7500
0.4615 0.7245 0.7498
0.5385 0.2755 0.7498
0.6899 0.8546 0.7500
0.7494 0.6077 0.2498
0.7506 0.1077 0.7502
0.8101 0.3545 0.2500
0.9615 0.7755 0.2502
0.0000 0.0000 0.7522
0.0000 0.5000 0.7497
0.5000 0.0000 0.2503
0.5000 0.5000 0.2478
0.0205 0.3951 0.2498
0.0968 0.9124 0.2506
0.1108 0.1183 0.7503
0.1135 0.7459 0.7501
0.1812 0.2860 0.7499
0.1929 0.5201 0.7499
0.3071 0.0201 0.2501
0.3188 0.7860 0.2501
0.3865 0.2459 0.2499
0.3892 0.6183 0.2497
0.4032 0.4124 0.7494
0.4795 0.8951 0.7502
0.5205 0.1049 0.7502
0.5968 0.5876 0.7494
0.6108 0.3817 0.2497
0.6135 0.7541 0.2499
0.6812 0.2140 0.2501
0.6929 0.9799 0.2501
0.8071 0.4799 0.7499
0.8188 0.7140 0.7499
0.8865 0.2541 0.7501
0.8892 0.8817 0.7503
0.9032 0.0876 0.2506
0.9795 0.6049 0.2498
```

- magnetic moment (μB per atom) = 0.0000
- uncorrected formation energy (eV per atom) = -1.695
- energy relative to the lowest polymorph listed for this composition (eV per atom) = 0.003

Record 21
BaSeNF2: relaxed, PBE.

Cell and atoms, written as POSCAR:
```
BaSeNF2
1.0
4.7838 0.0000 0.0000
0.0000 4.7838 0.0000
0.0000 0.0000 3.8491
Ba Se N F
1 1 1 2
direct
0.0000 0.0000 0.0000
0.5000 0.5000 0.5000
0.5000 0.5000 0.0000
0.0000 0.5000 0.5000
0.5000 0.0000 0.5000
```

- magnetic moment (μB per atom) = 0.0000
- uncorrected formation energy (eV per atom) = -1.237
- D(E_F) (states/eV per atom) = 0.20
- energy relative to the lowest polymorph listed for this composition (eV per atom) = 0.000

Record 22
LaZn11Fe: relaxed, PBE.

Cell and atoms, written as POSCAR:
```
LaZn11Fe
1.0
2.5417 -6.4418 0.0000
2.5417 6.4418 0.0000
-2.4792 0.0000 6.3862
La Zn Fe
1 11 1
direct
0.0000 0.0000 0.0000
0.0000 0.0000 0.5000
0.0000 0.5000 0.0000
0.0240 0.3707 0.3623
0.2794 0.5031 0.7713
0.3707 0.0240 0.3623
0.4969 0.7206 0.2287
0.5000 0.0000 0.0000
0.5031 0.2794 0.7713
0.6293 0.9760 0.6377
0.7206 0.4969 0.2287
0.9760 0.6293 0.6377
0.5000 0.5000 0.5000
```

- magnetic moment (μB per atom) = 0.1668
- D(E_F) (states/eV per atom) = 0.49
- calculated formation energy (eV per atom) = -0.15